## NaEr5Tl3 (PBE-GGA)

Data for crystalline NaEr5Tl3 at its relaxed geometry.

Values from the calculation:
calculated formation energy: -232 meV/atom
total magnetic moment: 0.000 μB per atom
DFT total energy: -3.70 eV per atom
crystal system: hexagonal

a = 6.6405 Å, b = 9.2697 Å, c = 9.2688 Å
α = 120.00°, β = 90.00°, γ = 90.00°
Atoms (fractional coordinates):
Na1 0.0000 0.0000 0.0000
Na2 0.5000 0.0000 0.0000
Er1 0.0000 0.6667 0.3333
Er2 0.5000 0.3333 0.6667
Er3 0.0000 0.3333 0.6667
Er4 0.5000 0.6667 0.3333
Er5 0.7500 0.6807 0.6807
Er6 0.7500 0.0000 0.3193
Er7 0.7500 0.3192 0.0000
Er8 0.2500 0.3193 0.3193
Er9 0.2500 0.0000 0.6807
Er10 0.2500 0.6808 0.0000
Tl1 0.7500 0.3465 0.3465
Tl2 0.7500 0.0000 0.6535
Tl3 0.7500 0.6535 0.0000
Tl4 0.2500 0.6535 0.6535
Tl5 0.2500 0.0000 0.3465
Tl6 0.2500 0.3465 0.0000